DFT (PBE with a Hubbard U) results for a geometry-optimized Rb2CoI6O structure.

Calculated values
Space group: No. 139
V in Å³ per cell: 355.0
Crystal system: tetragonal
Electronic total energy in eV/f.u.: -25.6
DOS(E_F) in states/eV per atom: 0.49

Unit cell a=8.2716 b=8.2716 c=8.2716 alpha=126.34 beta=126.34 gamma=79.33
Closest atoms and distances in Å follow each position.
Fractional positions:
Rb 0.2500 0.7500 0.5000  12 I 3.77-4.14
Rb 0.7500 0.2500 0.5000  12 I 3.77-4.14
Co 0.0000 0.0000 0.0000  6 I 2.65-2.81
I 0.2081 0.2081 0.0000  1 Co 2.65
I 0.2664 0.2664 0.5328  1 O 2.47
I 0.2664 0.7336 0.0000  1 O 2.47
I 0.7336 0.2664 0.0000  1 O 2.47
I 0.7336 0.7336 0.4672  1 O 2.47
I 0.7919 0.7919 0.0000  1 Co 2.65
O 0.5000 0.5000 0.0000  4 I 2.47